This record from Alexandria via LeMat-Bulk describes Ba2Tl2Zn2Co3O10 after structural relaxation. The functional is PBE with a Hubbard U.

Lattice parameters (Å, degrees): 4.0062 4.0440 17.4379 96.56 96.59 90.15
With the nearest neighbours (Å) after each atom.
Fractional coordinates of all 19 atoms:
Ba (0.0000, 0.0000, 0.0000)  9 O 2.84-3.01, 1 Zn 3.14
Ba (0.2795, 0.2666, 0.5554)  8 O 2.67-2.96
Tl (0.4234, 0.4774, 0.8463)  4 O 2.16-2.38
Tl (0.8579, 0.9045, 0.7147)  2 O 2.11-2.22
Zn (0.0920, 0.0890, 0.1827)  1 O 1.93
Zn (0.1688, 0.6672, 0.3369)  5 O 2.01-2.16
Co (0.5650, 0.5625, 0.1290)  4 O 2.00-2.02
Co (0.6657, 0.1667, 0.3323)  5 O 1.99-2.11
Co (0.7290, 0.7189, 0.4557)  4 O 2.00-2.03
O (0.0653, 0.5637, 0.1296)  2 Co 2.00, 2 Zn 2.22
O (0.1486, 0.1426, 0.2947)  2 Zn 1.93-2.13, 2 Co 2.10-2.11
O (0.2283, 0.7174, 0.4536)  2 Co 2.00, 1 Zn 2.01
O (0.3662, 0.2209, 0.7294)  3 Tl 2.17-2.38
O (0.4857, 0.4677, 0.9706)  1 Tl 2.16
O (0.5657, 0.0631, 0.1302)  2 Co 2.02, 2 Zn 2.20
O (0.6602, 0.6555, 0.3195)  2 Co 2.01-2.05, 2 Zn 2.03
O (0.7263, 0.2142, 0.4481)  3 Co 1.99-2.03
O (0.7984, 0.7708, 0.5933)  1 Tl 2.11
O (0.9199, 0.7891, 0.8369)  3 Tl 2.22-2.38

Computed properties:
Mass density, g/cm3: 6.9
Final energy, eV per atom: -5.272
Total magnetic moment, μB/f.u.: 8.43